Material: LaPrNd2
Method: DFT, PBE
State: relaxed

abc: 5.8922 5.8922 5.8922
angles: 60.00 60.00 60.00
Sites, in units of the cell vectors:
Pr1 0.0000 0.0000 0.0000
La1 0.5000 0.5000 0.5000
Nd1 0.2500 0.2500 0.2500
Nd2 0.7500 0.7500 0.7500

Computed properties:
Total moment in μB per formula unit: 0.01
DOS(E_F) in states/eV/cell: 10.7
V in Å³/cell: 144.65
Excess energy over the best structure of this formula in the dataset in meV per atom: 113
ΔH_f (0 K) in meV/atom: 124.8